VASP calculation (PBE-GGA) on crystalline KSi2Mo at its relaxed geometry.

The density of states at the Fermi level is 0.5418 states/eV/atom. The calculation puts the density at 4.2 g/cm³. The calculation puts the distance to the lowest polymorph of the same formula at 0.618 eV per atom.

Unit cell a=6.0740 b=6.0740 c=6.0740 alpha=153.94 beta=129.55 gamma=57.65
Atoms (fractional coordinates):
K  0.0000  0.0000  0.0000
Si  0.4881  0.4881  0.0000
Si  0.7085  0.2085  0.5000
Mo  0.2917  0.7917  0.5000